(1)
# ZnCo2Ni

An optimized crystal structure of ZnCo2Ni (PBE, Alexandria).

Formation energy ... 33 meV per atom
M_tot ... 0.957 μB/atom

```
4
Lattice="-0.5953 -2.4568 0.2402 1.5045 -1.7761 -1.0148 4.6482 -1.7721 6.8157" Properties=species:S:1:pos:R:3 pbc="T T T"
Zn 2.7798 -3.0026 3.0223
Co 3.6031 -1.6853 5.1143
Co 1.3481 -1.4978 1.4431
Ni 5.2534 -4.5940 6.2978
```

=====

(2)
# EuCuPt

An optimized crystal structure of EuCuPt (PBE, Alexandria).

Formation energy ... -583 meV per atom
M_tot ... 2.298 μB/atom

```
3
Lattice="3.9567 0.0000 0.0000 0.0000 4.3386 0.0000 0.0000 -2.1693 3.7573" Properties=species:S:1:pos:R:3 pbc="T T T"
Eu 2.6377 0.0000 2.5049
Cu 0.6595 2.1693 1.2524
Pt 0.6594 0.0000 0.0000
```

=====

(3)
# ScSi2Pd7

An optimized crystal structure of ScSi2Pd7 (PBE, Alexandria).

Energy relative to the elements, uncorrected ... -0.753 eV per atom
M_tot ... 0.000 μB/atom

```
10
Lattice="-2.1822 -2.1510 -2.5723 -0.4613 -2.8473 2.7723 -6.9023 6.9780 3.1314" Properties=species:S:1:pos:R:3 pbc="T T T"
Sc 0.0000 0.0000 0.0000
Si -4.1835 -0.9407 1.2244
Si -5.3623 2.9203 2.1070
Pd -1.9426 -0.4913 2.0588
Pd -6.7427 2.1228 3.9449
Pd -2.8031 -0.1432 -0.6135
Pd -1.3218 -2.4992 0.1000
Pd -5.2031 1.1639 0.3295
Pd -7.6032 2.4710 1.2726
Pd -4.3427 0.8158 3.0019
```

=====

(4)
# PbBr4Cl

An optimized crystal structure of PbBr4Cl (PBE, Alexandria).

Energy relative to the elements, uncorrected ... 0.137 eV per atom
M_tot ... 0.001 μB/atom

```
6
Lattice="0.0000 4.3812 4.3812 4.3812 0.0000 4.3812 4.3812 4.3812 0.0000" Properties=species:S:1:pos:R:3 pbc="T T T"
Pb 0.0000 0.0000 0.0000
Br 3.2871 5.4753 5.4753
Br 5.4753 5.4753 3.2871
Br 5.4753 3.2871 5.4753
Br 3.2871 3.2871 3.2871
Cl 6.5718 6.5718 6.5718
```

=====

(5)
# AcPmYBi

An optimized crystal structure of AcPmYBi (PBE, Alexandria).

Formation energy ... -183 meV per atom
M_tot ... 0.000 μB/atom

```
4
Lattice="5.6807 0.0000 0.0000 2.8404 4.9197 0.0000 2.8404 1.6399 4.6383" Properties=species:S:1:pos:R:3 pbc="T T T"
Y 8.5211 4.9197 3.4787
Ac 5.6807 3.2798 2.3192
Bi 0.0000 0.0000 0.0000
Pm 2.8404 1.6399 1.1596
```

=====

(6)
# AcSm2OsC2

An optimized crystal structure of AcSm2OsC2 (PBE, Alexandria).

Formation energy ... -56 meV per atom
M_tot ... 0.000 μB/atom

```
12
Lattice="-1.5108 -1.6214 3.3175 -3.4820 -3.4427 -3.2684 8.1084 -7.9964 -0.2154" Properties=species:S:1:pos:R:3 pbc="T T T"
Ac -2.4964 -2.5321 0.0246
Ac 4.0542 -3.9982 -0.1077
Sm 0.8307 -2.4761 1.5672
Sm 0.6246 -4.1555 -1.7465
Sm 2.2848 -10.5845 -1.7334
Sm 4.0017 -7.2837 -1.7373
Os 0.0000 0.0000 0.0000
Os 1.5577 -6.5303 -0.0831
C -0.2591 -6.3482 -0.8215
C 3.3745 -6.7124 0.6553
C 4.4396 -9.6454 -2.6922
C 0.1867 -1.7938 -0.7916
```